RbIn5Ga, optimized geometry, DFT GGA-PBE; total energy = -2.543 eV/atom
1.0
4.4867 0.0000 0.0000
0.0000 4.4867 0.0000
0.0000 0.0000 11.1639
Rb In Ga
1 5 1
Direct
0.0000 0.0000 0.0000
0.0000 0.5000 0.2841
0.0000 0.5000 0.7159
0.5000 0.0000 0.2841
0.5000 0.0000 0.7159
0.5000 0.5000 0.5000
0.0000 0.0000 0.5000

LaTbCd4, optimized geometry, DFT GGA-PBE; total energy = -2.539 eV/atom; energy above the lowest structure with this stoichiometry = 7 meV per atom
1.0
5.0803 0.0000 0.0000
0.0000 6.9557 0.0000
0.0000 0.0000 8.7804
La Tb Cd
2 2 8
Direct
0.0000 0.0000 0.0000
0.5000 0.5000 0.5000
0.0000 0.5000 0.0000
0.5000 0.0000 0.5000
0.0000 0.2454 0.3334
0.0000 0.2454 0.6666
0.0000 0.7546 0.3334
0.0000 0.7546 0.6666
0.5000 0.2546 0.1666
0.5000 0.2546 0.8334
0.5000 0.7454 0.1666
0.5000 0.7454 0.8334

no.,magnetization (μB/atom),energy of formation from the pure elements (meV/atom)
1,0.000,-16
2,0.000,-336